Below is a relaxed PmNd3Th2Se6 crystal, with properties calculated at the PBE-GGA level.

* magnetization: 0.0 μB/f.u.
* formation energy without anion corrections: -1.73 eV/atom
* calculated volume: 318 Å³/cell

Cell: 7.281 7.281 7.324 Å, 99.56 99.56 119.85°
Atoms (fractional coordinates):
Pm1 0.000 0.000 0.000
Nd1 0.165 0.835 0.500
Nd2 0.835 0.165 0.500
Nd3 0.500 0.500 0.500
Th1 0.333 0.667 0.000
Th2 0.667 0.333 0.000
Se1 0.917 0.583 0.750
Se2 0.749 0.749 0.247
Se3 0.083 0.417 0.250
Se4 0.583 0.917 0.750
Se5 0.251 0.251 0.753
Se6 0.417 0.083 0.250